Below is a relaxed structure of GaNiC2O, with properties calculated at the PBE+U level.

Geometry as CIF:
```
data_GaNiC2O
_symmetry_space_group_name_H-M 'P 4/m m m'
_symmetry_Int_Tables_number 123
_symmetry_space_group_name_Hall '-P 4 2'
_cell_length_a 3.957
_cell_length_b 3.957
_cell_length_c 3.784
_cell_angle_alpha 90.00
_cell_angle_beta 90.00
_cell_angle_gamma 90.00
loop_
_atom_site_label
_atom_site_type_symbol
_atom_site_fract_x
_atom_site_fract_y
_atom_site_fract_z
_atom_site_occupancy
Ga1 Ga 0.000 0.000 0.000 1
Ni1 Ni 0.500 0.500 0.500 1
C1 C 0.000 0.500 0.000 1
O1 O 0.000 0.000 0.500 1
```

Calculated values
VASP energy: -3.667 eV per atom
Density of states at the Fermi level: 3.5 states/eV/f.u.
Density: 4.72 g/cm³